LaCeNd2: relaxed, PBE.

It has space group P4/mmm (No. 123), with a = 3.597 Å, b = 3.597 Å, c = 10.461 Å, α = 90.00°, β = 90.00° and γ = 90.00°. The asymmetric unit holds La at (0.000, 0.000, 0.000), Ce at (0.000, 0.000, 0.500) and Nd at (0.500, 0.500, 0.267).

As for the crystal system: tetragonal. The calculation puts the uncorrected energy at -0.370 Ry per atom. The calculated density is 6964 kg/m³. The formation energy comes out at 0.06 eV/atom. As for the magnetization: 0.46 μB per cell.